1.
The following is a PBE calculation of a geometry-optimized Pm2TlGa structure, from the Alexandria database.

Properties
The total energy comes out at -4.170 eV per atom.

Cell lengths 7.566, 7.566, 7.566 Å; angles 90.00, 90.00, 90.00 degrees
Space group Fm-3m (No. 225)
Unique sites:
Pm (0.250, 0.250, 0.250) [8 per cell]
Tl (0.000, 0.000, 0.000) [4 per cell]
Ga (0.000, 0.000, 0.500) [4 per cell]



2.
The following is a PBE calculation of a geometry-optimized LaTeAs3 structure, from the Alexandria database.

Properties
The formation energy (no corrections) is 0.123 eV per atom.

Cell lengths 5.259, 5.259, 5.259 Å; angles 90.00, 90.00, 90.00 degrees
Space group Pm-3m (No. 221)
Unique sites:
La (0.000, 0.000, 0.000) [1 per cell]
Te (0.500, 0.500, 0.500) [1 per cell]
As (0.000, 0.500, 0.500) [3 per cell]



3.
The following is a PBE calculation of a geometry-optimized LiCo2Ir structure, from the Alexandria database.

Properties
The total energy comes out at -6.182 eV per atom.

Cell lengths 4.306, 4.306, 2.661 Å; angles 90.00, 90.00, 90.00 degrees
Space group P4/mmm (No. 123)
Unique sites:
Li (0.000, 0.000, 0.000) [1 per cell]
Co (0.000, 0.500, 0.500) [2 per cell]
Ir (0.500, 0.500, 0.000) [1 per cell]



4.
The following is a PBE calculation of a geometry-optimized Ac2Cu2PdO6 structure, from the Alexandria database.

Properties
The formation energy (no corrections) is -1.610 eV per atom.

Cell lengths 5.9083, 5.9083, 15.5268 Å; angles 90.00, 90.00, 120.00 degrees
Space group R-3m (No. 166, hexagonal axes)
Unique sites:
Ac (0.0000, 0.0000, 0.2200) [6 per cell]
Cu (0.0000, 0.0000, 0.4181) [6 per cell]
Pd (0.0000, 0.0000, 0.0000) [3 per cell]
O (0.0361, 0.5181, 0.7575) [18 per cell]



5.
The following is a PBE calculation of a geometry-optimized Zr2CuRh structure, from the Alexandria database.

Properties
The total energy comes out at -7.580 eV per atom.

Cell lengths 4.657, 4.657, 3.291 Å; angles 90.00, 90.00, 90.00 degrees
Space group P4/mmm (No. 123)
Unique sites:
Zr (0.000, 0.500, 0.000) [2 per cell]
Cu (0.000, 0.000, 0.500) [1 per cell]
Rh (0.500, 0.500, 0.500) [1 per cell]



6.
The following is a PBE calculation of a geometry-optimized Cu2TeC structure, from the Alexandria database.

Properties
The formation energy (no corrections) is 0.775 eV per atom.

Cell lengths 4.503, 4.503, 12.504 Å; angles 90.00, 90.00, 90.00 degrees
Space group I-42d (No. 122)
Unique sites:
Cu (0.107, 0.250, 0.125) [8 per cell]
Te (0.000, 0.000, 0.500) [4 per cell]
C (0.000, 0.000, 0.000) [4 per cell]



7.
The following is a PBE calculation of a geometry-optimized LiCd2AgCl6 structure, from the Alexandria database.

Properties
The formation energy (no corrections) is -1.066 eV per atom.

Cell lengths 13.087, 12.136, 6.913 Å; angles 90.00, 102.25, 90.00 degrees
Space group C2/c (No. 15)
Unique sites:
Li (0.000, 0.230, 0.250) [4 per cell]
Cd (0.193, 0.407, 0.768) [8 per cell]
Ag (0.000, 0.100, 0.750) [4 per cell]
Cl (0.112, 0.086, 0.130) [8 per cell]
Cl (0.117, 0.243, 0.579) [8 per cell]
Cl (0.130, 0.415, 0.093) [8 per cell]



8.
The following is a PBE calculation of a geometry-optimized Ca3TaAl structure, from the Alexandria database.

Properties
The total energy comes out at -3.244 eV per atom.

Cell lengths 5.693, 5.693, 5.693 Å; angles 90.00, 90.00, 90.00 degrees
Space group Pm-3m (No. 221)
Unique sites:
Ca (0.000, 0.000, 0.500) [3 per cell]
Ta (0.500, 0.500, 0.500) [1 per cell]
Al (0.000, 0.000, 0.000) [1 per cell]



9.
The following is a PBE calculation of a geometry-optimized TmP3Rh5 structure, from the Alexandria database.

Properties
The total energy comes out at -7.153 eV per atom.

Cell lengths 3.847, 12.073, 12.211 Å; angles 90.00, 90.00, 90.00 degrees
Space group Cmcm (No. 63)
Unique sites:
Tm (0.000, 0.137, 0.250) [4 per cell]
P (0.000, 0.116, 0.750) [4 per cell]
P (0.000, 0.389, 0.546) [8 per cell]
Rh (0.000, 0.000, 0.000) [4 per cell]
Rh (0.000, 0.212, 0.581) [8 per cell]
Rh (0.000, 0.442, 0.142) [8 per cell]



10.
The following is a PBE calculation of a geometry-optimized PmErHgGe structure, from the Alexandria database.

Properties
The total energy comes out at -4.106 eV per atom.

Cell lengths 7.346, 7.346, 7.346 Å; angles 90.00, 90.00, 90.00 degrees
Space group F-43m (No. 216)
Unique sites:
Pm (0.000, 0.000, 0.000) [4 per cell]
Er (0.000, 0.000, 0.500) [4 per cell]
Hg (0.250, 0.250, 0.250) [4 per cell]
Ge (0.250, 0.250, 0.750) [4 per cell]



11.
The following is a PBE calculation of a geometry-optimized Dy6SnIr2 structure, from the Alexandria database.

Properties
The total energy comes out at -6.155 eV per atom.

Cell lengths 9.417, 9.617, 10.436 Å; angles 90.00, 90.00, 90.00 degrees
Space group Immm (No. 71)
Unique sites:
Dy (0.000, 0.206, 0.238) [8 per cell]
Dy (0.190, 0.500, 0.169) [8 per cell]
Dy (0.213, 0.318, 0.500) [8 per cell]
Sn (0.000, 0.000, 0.000) [2 per cell]
Sn (0.000, 0.000, 0.500) [2 per cell]
Ir (0.000, 0.334, 0.000) [4 per cell]
Ir (0.000, 0.500, 0.369) [4 per cell]



12.
The following is a PBE calculation of a geometry-optimized Y3AgSn structure, from the Alexandria database.

Properties
The total energy comes out at -5.216 eV per atom.

Cell lengths 5.458, 5.458, 5.458 Å; angles 90.00, 90.00, 90.00 degrees
Space group Pm-3m (No. 221)
Unique sites:
Y (0.000, 0.000, 0.500) [3 per cell]
Ag (0.000, 0.000, 0.000) [1 per cell]
Sn (0.500, 0.500, 0.500) [1 per cell]



Copy entry 7 word for word.
The following is a PBE calculation of a geometry-optimized LiCd2AgCl6 structure, from the Alexandria database.

Properties
The formation energy (no corrections) is -1.066 eV per atom.

Cell lengths 13.087, 12.136, 6.913 Å; angles 90.00, 102.25, 90.00 degrees
Space group C2/c (No. 15)
Unique sites:
Li (0.000, 0.230, 0.250) [4 per cell]
Cd (0.193, 0.407, 0.768) [8 per cell]
Ag (0.000, 0.100, 0.750) [4 per cell]
Cl (0.112, 0.086, 0.130) [8 per cell]
Cl (0.117, 0.243, 0.579) [8 per cell]
Cl (0.130, 0.415, 0.093) [8 per cell]